No. 1
DFT (meta-GGA SCAN) results for AlCoRh2S at its PBEsol-relaxed geometry.

CIF file:
```
data_AlCoRh2S
_symmetry_space_group_name_H-M 'P 4/m m m'
_symmetry_Int_Tables_number 123
_symmetry_space_group_name_Hall '-P 4 2'
_cell_length_a 4.4276
_cell_length_b 4.4276
_cell_length_c 4.3480
_cell_angle_alpha 90.00
_cell_angle_beta 90.00
_cell_angle_gamma 90.00
loop_
_atom_site_label
_atom_site_fract_x
_atom_site_fract_y
_atom_site_fract_z
_atom_site_occupancy
Al1 0.0000 0.0000 0.0000 1
Co1 0.5000 0.5000 0.5000 1
Rh1 0.0000 0.5000 0.0000 1
S1 0.0000 0.0000 0.5000 1
```

Values from the calculation:
- energy (eV per atom) = -19.5801
- magnetic moment (Bohr magnetons per cell) = 3.59

---

No. 2
DFT (meta-GGA SCAN) results for CdTc2Pt at its PBEsol-relaxed geometry.

CIF file:
```
data_CdTc2Pt
_symmetry_space_group_name_H-M 'P m m 2'
_symmetry_Int_Tables_number 25
_cell_length_a 2.7507
_cell_length_b 3.8907
_cell_length_c 5.7319
_cell_angle_alpha 90.00
_cell_angle_beta 90.00
_cell_angle_gamma 90.00
loop_
_symmetry_equiv_pos_as_xyz
'x,y,z'
'-x,-y,z'
'-x,y,z'
'x,-y,z'
loop_
_atom_site_label
_atom_site_fract_x
_atom_site_fract_y
_atom_site_fract_z
_atom_site_occupancy
Cd1 0.0000 0.0000 0.0000 1
Tc1 0.0000 0.0000 0.5156 1
Tc2 0.5000 0.5000 0.7134 1
Pt1 0.5000 0.5000 0.2537 1
```

Values from the calculation:
- energy (eV per atom) = -42.6181
- magnetic moment (Bohr magnetons per cell) = 0.00

---

No. 3
DFT (meta-GGA SCAN) results for PdPbS2Cl at its PBEsol-relaxed geometry.

CIF file:
```
data_PdPbS2Cl
_symmetry_space_group_name_H-M 'P 4/m m m'
_symmetry_Int_Tables_number 123
_symmetry_space_group_name_Hall '-P 4 2'
_cell_length_a 4.7090
_cell_length_b 4.7090
_cell_length_c 4.7216
_cell_angle_alpha 90.00
_cell_angle_beta 90.00
_cell_angle_gamma 90.00
loop_
_atom_site_label
_atom_site_fract_x
_atom_site_fract_y
_atom_site_fract_z
_atom_site_occupancy
Pd1 0.0000 0.0000 0.0000 1
Pb1 0.5000 0.5000 0.5000 1
S1 0.0000 0.5000 0.0000 1
Cl1 0.0000 0.0000 0.5000 1
```

Values from the calculation:
- energy (eV per atom) = -27.3842
- magnetic moment (Bohr magnetons per cell) = 0.00

---

No. 4
DFT (meta-GGA SCAN) results for ZnMoAs2Se at its PBEsol-relaxed geometry.

CIF file:
```
data_ZnMoAs2Se
_symmetry_space_group_name_H-M 'P 4/m m m'
_symmetry_Int_Tables_number 123
_symmetry_space_group_name_Hall '-P 4 2'
_cell_length_a 4.6427
_cell_length_b 4.6427
_cell_length_c 4.8244
_cell_angle_alpha 90.00
_cell_angle_beta 90.00
_cell_angle_gamma 90.00
loop_
_atom_site_label
_atom_site_fract_x
_atom_site_fract_y
_atom_site_fract_z
_atom_site_occupancy
Zn1 0.0000 0.0000 0.0000 1
Mo1 0.5000 0.5000 0.5000 1
As1 0.0000 0.5000 0.0000 1
Se1 0.0000 0.0000 0.5000 1
```

Values from the calculation:
- energy (eV per atom) = -20.7565
- magnetic moment (Bohr magnetons per cell) = 2.97

---

No. 5
DFT (meta-GGA SCAN) results for LaY at its PBEsol-relaxed geometry.

CIF file:
```
data_LaY
_symmetry_space_group_name_H-M 'P m m n'
_symmetry_Int_Tables_number 59
_cell_length_a 3.6070
_cell_length_b 5.8163
_cell_length_c 6.1960
_cell_angle_alpha 90.00
_cell_angle_beta 90.00
_cell_angle_gamma 90.00
loop_
_symmetry_equiv_pos_as_xyz
'x,y,z'
'-x,-y,-z'
'-x+1/2,-y+1/2,z'
'x+1/2,y+1/2,-z'
'x+1/2,-y,-z'
'-x+1/2,y,z'
'-x,y+1/2,-z'
'x,-y+1/2,z'
loop_
_atom_site_label
_atom_site_fract_x
_atom_site_fract_y
_atom_site_fract_z
_atom_site_occupancy
La1 0.2500 0.2500 0.0806 1
Y1 0.2500 0.7500 0.4158 1
```

Values from the calculation:
- excess energy over the best structure of this formula in the dataset (eV/atom) = 0.012
- magnetic moment (Bohr magnetons per cell) = 0.00

---

No. 6
DFT (meta-GGA SCAN) results for BaZr2Al at its PBEsol-relaxed geometry.

CIF file:
```
data_BaZr2Al
_symmetry_space_group_name_H-M 'I 4/m m m'
_symmetry_Int_Tables_number 139
_symmetry_space_group_name_Hall '-I 4 2'
_cell_length_a 4.6286
_cell_length_b 4.6286
_cell_length_c 8.9617
_cell_angle_alpha 90.00
_cell_angle_beta 90.00
_cell_angle_gamma 90.00
loop_
_atom_site_label
_atom_site_fract_x
_atom_site_fract_y
_atom_site_fract_z
_atom_site_occupancy
Ba1 0.0000 0.0000 0.0000 1
Zr1 0.0000 0.5000 0.2500 1
Al1 0.0000 0.0000 0.5000 1
```

Values from the calculation:
- energy (eV per atom) = -26.7049
- magnetic moment (Bohr magnetons per cell) = 0.00

---

Mass density across the listed records, respectively: 6.3, 13.6, 6.6, 6.2, 5.8, 6.0 g/cm³.
D(E_F) across the listed records, respectively: 5.35, 3.27, 2.91, 2.68, 2.66, 5.23 states/eV/f.u..